Entry from the Alexandria database: a crystal of Mg6Ir7 relaxed with PBEsol (meta-GGA SCAN).

```
data_Mg6Ir7
_chemical_formula_sum 'Mg18 Ir21'
_cell_length_a 5.2479
_cell_length_b 5.2479
_cell_length_c 26.9112
_cell_angle_alpha 90.00
_cell_angle_beta 90.00
_cell_angle_gamma 120.00
_symmetry_space_group_name_H-M 'R -3 m'
_symmetry_Int_Tables_number 166
_symmetry_space_group_name_Hall '-R 3 2"'
loop_
_atom_site_label
_atom_site_type_symbol
_atom_site_fract_x
_atom_site_fract_y
_atom_site_fract_z
Mg1 Mg 0.0000 0.0000 0.0532
Mg2 Mg 0.0000 0.0000 0.1546
Mg3 Mg 0.0000 0.0000 0.3365
Ir1 Ir 0.0000 0.0000 0.5000
Ir2 Ir 0.0080 0.5040 0.9104
```

Results
DFT formation energy in kJ per mole of atoms: -37.6
Spin magnetization in Bohr magnetons per cell: 0.01

***

Entry from the Alexandria database: a crystal of FeSnTeI2 relaxed with PBEsol (meta-GGA SCAN).

```
data_FeSnTeI2
_chemical_formula_sum 'Fe1 Sn1 Te1 I2'
_cell_length_a 5.795
_cell_length_b 5.795
_cell_length_c 5.723
_cell_angle_alpha 90.00
_cell_angle_beta 90.00
_cell_angle_gamma 90.00
_symmetry_space_group_name_H-M 'P 4/m m m'
_symmetry_Int_Tables_number 123
_symmetry_space_group_name_Hall '-P 4 2'
loop_
_atom_site_label
_atom_site_type_symbol
_atom_site_fract_x
_atom_site_fract_y
_atom_site_fract_z
Fe1 Fe 0.000 0.000 0.000
Sn1 Sn 0.500 0.500 0.500
Te1 Te 0.500 0.500 0.000
I1 I 0.000 0.500 0.500
```

Results
Energy relative to the elements, uncorrected in eV per atom: 0.67
Spin magnetization in Bohr magnetons per cell: 3.92

***

Entry from the Alexandria database: a crystal of KSiTe2 relaxed with PBEsol (meta-GGA SCAN).

```
data_KSiTe2
_chemical_formula_sum 'K2 Si2 Te4'
_cell_length_a 3.703
_cell_length_b 6.340
_cell_length_c 10.217
_cell_angle_alpha 90.00
_cell_angle_beta 90.00
_cell_angle_gamma 90.00
_symmetry_space_group_name_H-M 'I m m m'
_symmetry_Int_Tables_number 71
_symmetry_space_group_name_Hall '-I 2 2'
loop_
_atom_site_label
_atom_site_type_symbol
_atom_site_fract_x
_atom_site_fract_y
_atom_site_fract_z
K1 K 0.000 0.000 0.000
Si1 Si 0.000 0.000 0.500
Te1 Te 0.000 0.500 0.183
```

Results
Energy relative to the elements, uncorrected in eV per atom: -0.15
Spin magnetization in Bohr magnetons per cell: 0.00

***

Entry from the Alexandria database: a crystal of TlCuBi3 relaxed with PBEsol (meta-GGA SCAN).

```
data_TlCuBi3
_chemical_formula_sum 'Tl1 Cu1 Bi3'
_cell_length_a 5.280
_cell_length_b 5.280
_cell_length_c 5.280
_cell_angle_alpha 90.00
_cell_angle_beta 90.00
_cell_angle_gamma 90.00
_symmetry_space_group_name_H-M 'P m -3 m'
_symmetry_Int_Tables_number 221
_symmetry_space_group_name_Hall '-P 4 2 3'
loop_
_atom_site_label
_atom_site_type_symbol
_atom_site_fract_x
_atom_site_fract_y
_atom_site_fract_z
Tl1 Tl 0.000 0.000 0.000
Cu1 Cu 0.500 0.500 0.500
Bi1 Bi 0.000 0.500 0.500
```

Results
ΔE to the lowest computed polymorph in meV per atom: 0
DFT formation energy in kJ per mole of atoms: 34.7
Spin magnetization in Bohr magnetons per cell: 0.00